No. 1
## Sm2HoEr5Tm (PBE)

Data for crystalline Sm2HoEr5Tm at its relaxed geometry.

a b c (Å): 9.8313 9.8313 9.8313
angles (deg): 128.43 128.43 75.93
With the nearest neighbours (Å) after each atom.
Element x y z (fractional)
Sm (0.1172, 0.6172, 0.7343)  1 Sm 2.83, 2 Er 2.99
Sm (0.3828, 0.1172, 0.5000)  1 Sm 2.83, 2 Er 2.99
Sm (0.6172, 0.8828, 0.5000)  1 Sm 2.83, 2 Er 2.99
Sm (0.8828, 0.3828, 0.2657)  1 Sm 2.83, 2 Er 2.99
Ho (0.2500, 0.2500, 0.0000)  10 Er 3.50-3.88
Ho (0.7500, 0.7500, 0.0000)  10 Er 3.50-3.88
Er (0.0000, 0.0000, 0.0000)  4 Sm 3.42, 8 Er 3.75
Er (0.0723, 0.1481, 0.5000)  1 Sm 2.99, 1 Tm 3.08
Er (0.1481, 0.6481, 0.0759)  1 Sm 2.99, 1 Tm 3.08
Er (0.3519, 0.4277, 0.5000)  1 Sm 2.99, 1 Tm 3.08
Er (0.4277, 0.9277, 0.0759)  1 Sm 2.99, 1 Tm 3.08
Er (0.5000, 0.5000, 0.0000)  4 Sm 3.42, 8 Er 3.75
Er (0.5723, 0.0723, 0.9241)  1 Sm 2.99, 1 Tm 3.08
Er (0.6481, 0.5723, 0.5000)  1 Sm 2.99, 1 Tm 3.08
Er (0.8519, 0.3519, 0.9241)  1 Sm 2.99, 1 Tm 3.08
Er (0.9277, 0.8519, 0.5000)  1 Sm 2.99, 1 Tm 3.08
Tm (0.2500, 0.7500, 0.5000)  4 Er 3.08
Tm (0.7500, 0.2500, 0.5000)  4 Er 3.08

Properties
E_tot ... -4.30 eV/atom
Space-group type ... I4/mcm, No. 140
Formation energy ... 27.7 kJ per mole of atoms


No. 2
## RbPmGe2O6 (PBE)

Data for crystalline RbPmGe2O6 at its relaxed geometry.

a b c (Å): 7.7717 7.7717 5.3745
angles (deg): 93.73 93.73 92.83
With the nearest neighbours (Å) after each atom.
Element x y z (fractional)
Rb (0.0919, 0.9081, 0.7500)  6 O 2.78-2.86
Rb (0.9081, 0.0919, 0.2500)  6 O 2.78-2.86
Pm (0.2867, 0.7133, 0.2500)  4 O 2.25-2.33
Pm (0.7133, 0.2867, 0.7500)  4 O 2.25-2.33
Ge (0.2061, 0.3745, 0.7318)  4 O 1.71-1.87
Ge (0.3745, 0.2061, 0.2318)  4 O 1.71-1.87
Ge (0.6255, 0.7939, 0.7682)  4 O 1.71-1.87
Ge (0.7939, 0.6255, 0.2682)  4 O 1.71-1.87
O (0.0084, 0.2566, 0.7157)  1 Ge 1.74
O (0.2056, 0.5783, 0.8737)  1 Ge 1.71
O (0.2566, 0.0084, 0.2157)  1 Ge 1.74
O (0.2708, 0.3847, 0.4058)  2 Ge 1.86-1.87
O (0.3847, 0.2708, 0.9058)  2 Ge 1.86-1.87
O (0.4217, 0.7944, 0.6263)  1 Ge 1.71
O (0.5783, 0.2056, 0.3737)  1 Ge 1.71
O (0.6153, 0.7292, 0.0942)  2 Ge 1.86-1.87
O (0.7292, 0.6153, 0.5942)  2 Ge 1.86-1.87
O (0.7434, 0.9916, 0.7843)  1 Ge 1.74
O (0.7944, 0.4217, 0.1263)  1 Ge 1.71
O (0.9916, 0.7434, 0.2843)  1 Ge 1.74

Properties
E_tot ... -6.56 eV/atom
Space-group type ... C2/c, No. 15
Energy relative to the elements, uncorrected ... -2089 meV/atom


No. 3
## WCI3 (PBE)

Data for crystalline WCI3 at its relaxed geometry.

a b c (Å): 5.4935 5.4935 5.4935
angles (deg): 90.00 90.00 90.00
With the nearest neighbours (Å) after each atom.
Element x y z (fractional)
W (0.0000, 0.0000, 0.0000)  6 I 2.75
C (0.5000, 0.5000, 0.5000)  12 I 3.88
I (0.0000, 0.0000, 0.5000)  2 W 2.75
I (0.0000, 0.5000, 0.0000)  2 W 2.75
I (0.5000, 0.0000, 0.0000)  2 W 2.75

Properties
E_tot ... -3.48 eV/atom
Space-group type ... Pm-3m, No. 221
Relative energy among the computed polymorphs ... 0.000 eV/atom
Energy relative to the elements, uncorrected ... 1885 meV/atom


No. 4
## Y4TlPb (PBE)

Data for crystalline Y4TlPb at its relaxed geometry.

a b c (Å): 6.3983 6.3983 6.3983
angles (deg): 60.00 60.00 60.00
With the nearest neighbours (Å) after each atom.
Element x y z (fractional)
Y (0.1249, 0.1249, 0.1249)  6 Y 3.20
Y (0.1249, 0.1249, 0.6252)  6 Y 3.20
Y (0.1249, 0.6252, 0.1249)  6 Y 3.20
Y (0.6252, 0.1249, 0.1249)  6 Y 3.20
Tl (0.5000, 0.5000, 0.5000)  12 Y 3.75, 4 Pb 3.92
Pb (0.7500, 0.7500, 0.7500)  12 Y 3.75, 4 Tl 3.92

Properties
E_tot ... -5.15 eV/atom
Space-group type ... F-43m, No. 216
Relative energy among the computed polymorphs ... 0.457 eV/atom
Formation energy ... 16.2 kJ per mole of atoms


No. 5
## AgAsPt4 (PBE)

Data for crystalline AgAsPt4 at its relaxed geometry.

a b c (Å): 5.3117 5.3117 5.3117
angles (deg): 60.00 60.00 60.00
With the nearest neighbours (Å) after each atom.
Element x y z (fractional)
Ag (0.0000, 0.0000, 0.0000)  12 Pt 3.11, 4 As 3.25
As (0.2500, 0.2500, 0.2500)  12 Pt 3.11, 4 Ag 3.25
Pt (0.1247, 0.6251, 0.6251)  6 Pt 2.65-2.66
Pt (0.6251, 0.1247, 0.6251)  6 Pt 2.65-2.66
Pt (0.6251, 0.6251, 0.1247)  6 Pt 2.65-2.66
Pt (0.6251, 0.6251, 0.6251)  6 Pt 2.65-2.66

Properties
E_tot ... -5.10 eV/atom
Space-group type ... F-43m, No. 216
Formation energy ... 17.0 kJ per mole of atoms


No. 6
## CeAl2SiPt4 (PBE)

Data for crystalline CeAl2SiPt4 at its relaxed geometry.

a b c (Å): 9.0448 9.0448 9.0448
angles (deg): 27.48 27.48 27.48
With the nearest neighbours (Å) after each atom.
Element x y z (fractional)
Ce (0.0000, 0.0000, 0.0000)  6 Pt 3.12, 6 Al 3.40
Al (0.2440, 0.2440, 0.2440)  7 Pt 2.52-2.79
Al (0.7560, 0.7560, 0.7560)  7 Pt 2.52-2.79
Si (0.5000, 0.5000, 0.5000)  8 Pt 2.46-2.59
Pt (0.1379, 0.1379, 0.1379)  3 Si 2.59, 4 Al 2.77-2.79, 3 Pt 2.90
Pt (0.4058, 0.4058, 0.4058)  1 Si 2.46, 3 Al 2.52
Pt (0.5942, 0.5942, 0.5942)  1 Si 2.46, 3 Al 2.52
Pt (0.8621, 0.8621, 0.8621)  3 Si 2.59, 4 Al 2.77-2.79, 3 Pt 2.90

Properties
E_tot ... -6.30 eV/atom
Space-group type ... R-3m, No. 166
Energy relative to the elements, uncorrected ... -929 meV/atom


Question: Number 1 is which compound?
Answer: Sm2HoEr5Tm